Record 1
Entry from the Alexandria database: Ga2SeBr after structural relaxation (PBE).

Summary:
For the density of states at the Fermi level, the calculation gives 8.04 states/eV per cell. The value obtained for the offset from the most stable computed form is 0 meV per atom.

```
data_Ga2SeBr
_chemical_formula_sum 'Ga8 Se4 Br4'
_cell_length_a 7.3870
_cell_length_b 7.3870
_cell_length_c 8.2648
_cell_angle_alpha 90.00
_cell_angle_beta 90.00
_cell_angle_gamma 90.00
_space_group_name_H-M_alt 'I -4 2 d'
_space_group_IT_number 122
_space_group_name_Hall 'I -4 2bw'
loop_
_atom_site_label
_atom_site_fract_x
_atom_site_fract_y
_atom_site_fract_z
Ga1 0.2218 0.7500 0.1250
Se1 0.0000 0.0000 0.0000
Br1 0.0000 0.0000 0.5000
```


Record 2
Entry from the Alexandria database: Ga2Se2Br after structural relaxation (PBE).

Summary:
For the density of states at the Fermi level, the calculation gives 3.22 states/eV per cell. The value obtained for the offset from the most stable computed form is 310 meV per atom.

```
data_Ga2Se2Br
_chemical_formula_sum 'Ga4 Se4 Br2'
_cell_length_a 8.1191
_cell_length_b 8.1191
_cell_length_c 3.8761
_cell_angle_alpha 90.00
_cell_angle_beta 90.00
_cell_angle_gamma 90.00
_space_group_name_H-M_alt 'P 4/m b m'
_space_group_IT_number 127
_space_group_name_Hall '-P 4 2ab'
loop_
_atom_site_label
_atom_site_fract_x
_atom_site_fract_y
_atom_site_fract_z
Ga1 0.2379 0.2621 0.0000
Se1 0.1323 0.6323 0.5000
Br1 0.0000 0.0000 0.0000
```


Record 3
Entry from the Alexandria database: GaSeBr2 after structural relaxation (PBE).

Summary:
For the density of states at the Fermi level, the calculation gives 3.09 states/eV per cell. The value obtained for the offset from the most stable computed form is 0 meV per atom.

```
data_GaSeBr2
_chemical_formula_sum 'Ga2 Se2 Br4'
_cell_length_a 10.3586
_cell_length_b 6.5109
_cell_length_c 3.8860
_cell_angle_alpha 90.00
_cell_angle_beta 111.77
_cell_angle_gamma 90.00
_space_group_name_H-M_alt 'C 1 2 1'
_space_group_IT_number 5
_space_group_name_Hall 'C 2y'
loop_
_atom_site_label
_atom_site_fract_x
_atom_site_fract_y
_atom_site_fract_z
Ga1 0.0000 0.0000 0.0000
Se1 0.0000 0.7677 0.5000
Br1 0.1821 0.2512 0.1809
```


Record 4
Entry from the Alexandria database: Ga12Se3Br5 after structural relaxation (PBE).

Summary:
For the density of states at the Fermi level, the calculation gives 15.11 states/eV per cell. As for the total energy: -2.910 eV/atom.

```
data_Ga12Se3Br5
_chemical_formula_sum 'Ga96 Se24 Br40'
_cell_length_a 17.7549
_cell_length_b 17.7549
_cell_length_c 17.7549
_cell_angle_alpha 90.00
_cell_angle_beta 90.00
_cell_angle_gamma 90.00
_space_group_name_H-M_alt 'I a -3 d'
_space_group_IT_number 230
_space_group_name_Hall '-I 4bd 2c 3'
loop_
_atom_site_label
_atom_site_fract_x
_atom_site_fract_y
_atom_site_fract_z
Ga1 0.0078 0.0609 0.1650
Se1 0.0000 0.2500 0.1250
Br1 0.0000 0.0000 0.0000
Br2 0.0000 0.2500 0.3750
```


Record 5
Entry from the Alexandria database: Ga2SeBr after structural relaxation (PBE).

Summary:
For the density of states at the Fermi level, the calculation gives 10.78 states/eV per cell. The value obtained for the offset from the most stable computed form is 98 meV per atom.

```
data_Ga2SeBr
_chemical_formula_sum 'Ga8 Se4 Br4'
_cell_length_a 7.1893
_cell_length_b 7.1893
_cell_length_c 7.1893
_cell_angle_alpha 90.00
_cell_angle_beta 90.00
_cell_angle_gamma 90.00
_space_group_name_H-M_alt 'F m -3 m'
_space_group_IT_number 225
_space_group_name_Hall '-F 4 2 3'
loop_
_atom_site_label
_atom_site_fract_x
_atom_site_fract_y
_atom_site_fract_z
Ga1 0.2500 0.2500 0.2500
Se1 0.0000 0.0000 0.0000
Br1 0.0000 0.0000 0.5000
```


Record 6
Entry from the Alexandria database: GaSeBr7 after structural relaxation (PBE).

Summary:
For the density of states at the Fermi level, the calculation gives 0.00 states/eV per cell. As for the total energy: -2.482 eV/atom.

```
data_GaSeBr7
_chemical_formula_sum 'Ga2 Se2 Br14'
_cell_length_a 7.6073
_cell_length_b 6.8964
_cell_length_c 13.8302
_cell_angle_alpha 90.00
_cell_angle_beta 104.28
_cell_angle_gamma 90.00
_space_group_name_H-M_alt 'P 1 c 1'
_space_group_IT_number 7
_space_group_name_Hall 'P -2yc'
loop_
_atom_site_label
_atom_site_fract_x
_atom_site_fract_y
_atom_site_fract_z
Ga1 0.0000 0.0079 0.0000
Se1 0.6623 0.3897 0.8447
Br1 0.9999 0.1487 0.8424
Br2 0.0360 0.3287 0.4983
Br3 0.2359 0.1521 0.1240
Br4 0.4409 0.4318 0.4020
Br5 0.4679 0.1566 0.7425
Br6 0.7138 0.4018 0.2181
Br7 0.7154 0.1021 0.0297
```


Record 7
Entry from the Alexandria database: GaSeBr2 after structural relaxation (PBE).

Summary:
For the density of states at the Fermi level, the calculation gives 15.60 states/eV per cell. The value obtained for the offset from the most stable computed form is 609 meV per atom.

```
data_GaSeBr2
_chemical_formula_sum 'Ga4 Se4 Br8'
_cell_length_a 7.9070
_cell_length_b 7.9070
_cell_length_c 7.0940
_cell_angle_alpha 90.00
_cell_angle_beta 90.00
_cell_angle_gamma 90.00
_space_group_name_H-M_alt 'I -4 2 d'
_space_group_IT_number 122
_space_group_name_Hall 'I -4 2bw'
loop_
_atom_site_label
_atom_site_fract_x
_atom_site_fract_y
_atom_site_fract_z
Ga1 0.0000 0.0000 0.0000
Se1 0.0000 0.0000 0.5000
Br1 0.2455 0.7500 0.6250
```


Record 8
Entry from the Alexandria database: GaSeBr2 after structural relaxation (PBE).

Summary:
For the density of states at the Fermi level, the calculation gives 5.75 states/eV per cell. The value obtained for the offset from the most stable computed form is 432 meV per atom.

```
data_GaSeBr2
_chemical_formula_sum 'Ga3 Se3 Br6'
_cell_length_a 4.1220
_cell_length_b 4.1220
_cell_length_c 27.0359
_cell_angle_alpha 90.00
_cell_angle_beta 90.00
_cell_angle_gamma 120.00
_space_group_name_H-M_alt 'R -3 m'
_space_group_IT_number 166
_space_group_name_Hall '-R 3 2"'
loop_
_atom_site_label
_atom_site_fract_x
_atom_site_fract_y
_atom_site_fract_z
Ga1 0.0000 0.0000 0.0000
Se1 0.0000 0.0000 0.5000
Br1 0.0000 0.0000 0.4048
```


Record 9
Entry from the Alexandria database: GaSeBr3 after structural relaxation (PBE).

Summary:
For the density of states at the Fermi level, the calculation gives 0.98 states/eV per cell. The value obtained for the offset from the most stable computed form is 0 meV per atom.

```
data_GaSeBr3
_chemical_formula_sum 'Ga1 Se1 Br3'
_cell_length_a 5.4495
_cell_length_b 5.4495
_cell_length_c 5.4495
_cell_angle_alpha 90.00
_cell_angle_beta 90.00
_cell_angle_gamma 90.00
_space_group_name_H-M_alt 'P m -3 m'
_space_group_IT_number 221
_space_group_name_Hall '-P 4 2 3'
loop_
_atom_site_label
_atom_site_fract_x
_atom_site_fract_y
_atom_site_fract_z
Ga1 0.0000 0.0000 0.0000
Se1 0.5000 0.5000 0.5000
Br1 0.0000 0.5000 0.5000
```


Record 10
Entry from the Alexandria database: Ga3SeBr after structural relaxation (PBE).

Summary:
For the density of states at the Fermi level, the calculation gives 2.40 states/eV per cell. The value obtained for the offset from the most stable computed form is 0 meV per atom.

```
data_Ga3SeBr
_chemical_formula_sum 'Ga3 Se1 Br1'
_cell_length_a 5.6242
_cell_length_b 5.6242
_cell_length_c 5.6242
_cell_angle_alpha 90.00
_cell_angle_beta 90.00
_cell_angle_gamma 90.00
_space_group_name_H-M_alt 'P m -3 m'
_space_group_IT_number 221
_space_group_name_Hall '-P 4 2 3'
loop_
_atom_site_label
_atom_site_fract_x
_atom_site_fract_y
_atom_site_fract_z
Ga1 0.0000 0.0000 0.5000
Se1 0.0000 0.0000 0.0000
Br1 0.5000 0.5000 0.5000
```


Record 11
Entry from the Alexandria database: Ga2Se2Br after structural relaxation (PBE).

Summary:
For the density of states at the Fermi level, the calculation gives 8.87 states/eV per cell. The value obtained for the offset from the most stable computed form is 0 meV per atom.

```
data_Ga2Se2Br
_chemical_formula_sum 'Ga8 Se8 Br4'
_cell_length_a 7.9515
_cell_length_b 7.9515
_cell_length_c 10.4557
_cell_angle_alpha 90.00
_cell_angle_beta 90.00
_cell_angle_gamma 90.00
_space_group_name_H-M_alt 'I 41 m d'
_space_group_IT_number 109
_space_group_name_Hall 'I 4bw -2'
loop_
_atom_site_label
_atom_site_fract_x
_atom_site_fract_y
_atom_site_fract_z
Ga1 0.0000 0.2019 0.0000
Se1 0.0000 0.2558 0.2350
Br1 0.0000 0.0000 0.6530
```


Record 12
Entry from the Alexandria database: GaSe3Br after structural relaxation (PBE).

Summary:
For the density of states at the Fermi level, the calculation gives 5.64 states/eV per cell. The value obtained for the offset from the most stable computed form is 0 meV per atom.

```
data_GaSe3Br
_chemical_formula_sum 'Ga1 Se3 Br1'
_cell_length_a 5.0234
_cell_length_b 5.0234
_cell_length_c 5.0234
_cell_angle_alpha 90.00
_cell_angle_beta 90.00
_cell_angle_gamma 90.00
_space_group_name_H-M_alt 'P m -3 m'
_space_group_IT_number 221
_space_group_name_Hall '-P 4 2 3'
loop_
_atom_site_label
_atom_site_fract_x
_atom_site_fract_y
_atom_site_fract_z
Ga1 0.0000 0.0000 0.0000
Se1 0.0000 0.0000 0.5000
Br1 0.5000 0.5000 0.5000
```